# PBE+U AlTlVO4, relaxed
data_AlTlVO4
_cell_length_a 5.3059
_cell_length_b 5.4662
_cell_length_c 7.4541
_cell_angle_alpha 90.00
_cell_angle_beta 90.89
_cell_angle_gamma 90.00
_symmetry_space_group_name_H-M 'P 1 21/m 1'
_symmetry_Int_Tables_number 11
loop_
_symmetry_equiv_pos_as_xyz
'x,y,z'
'-x,-y,-z'
'-x,y+1/2,-z'
'x,-y+1/2,z'
loop_
_atom_site_label
_atom_site_fract_x
_atom_site_fract_y
_atom_site_fract_z
_atom_site_occupancy
Al1 0.1477 0.2500 0.3623 1
Tl1 0.2436 0.2500 0.8688 1
V1 0.3348 0.7500 0.5244 1
O1 0.0058 0.2500 0.5767 1
O2 0.1494 0.7500 0.7474 1
O3 0.3929 0.0213 0.3595 1
# Size of the total moment (μB per atom): 0.143
# Electronic total energy (eV for the cell shown): -93.70